# 1
Compound: Cs3Cu5Cl12
Source: the Alexandria database
Functional: PBE-GGA
Structure: optimized geometry

E_form (uncorrected), eV per formula unit: -17.99

a = 14.155 Å, b = 14.155 Å, c = 14.155 Å
α = 109.47°, β = 109.47°, γ = 109.47°
Atoms (fractional coordinates):
Cs: 0.125 0.250 0.375
Cs: 0.125 0.375 0.750
Cs: 0.250 0.375 0.125
Cs: 0.250 0.875 0.625
Cs: 0.375 0.125 0.250
Cs: 0.375 0.750 0.125
Cs: 0.625 0.250 0.875
Cs: 0.625 0.875 0.750
Cs: 0.750 0.125 0.375
Cs: 0.750 0.625 0.875
Cs: 0.875 0.625 0.250
Cs: 0.875 0.750 0.625
Cu: 0.000 0.000 0.000
Cu: 0.000 0.000 0.500
Cu: 0.000 0.500 0.000
Cu: 0.000 0.500 0.500
Cu: 0.125 0.750 0.875
Cu: 0.125 0.875 0.250
Cu: 0.250 0.125 0.875
Cu: 0.250 0.625 0.375
Cu: 0.375 0.250 0.625
Cu: 0.375 0.625 0.750
Cu: 0.500 0.000 0.000
Cu: 0.500 0.000 0.500
Cu: 0.500 0.500 0.000
Cu: 0.500 0.500 0.500
Cu: 0.625 0.375 0.250
Cu: 0.625 0.750 0.375
Cu: 0.750 0.375 0.625
Cu: 0.750 0.875 0.125
Cu: 0.875 0.125 0.750
Cu: 0.875 0.250 0.125
Cl: 0.003 0.685 0.102
Cl: 0.003 0.818 0.902
Cl: 0.083 0.682 0.685
Cl: 0.083 0.902 0.398
Cl: 0.098 0.602 0.917
Cl: 0.098 0.997 0.182
Cl: 0.102 0.003 0.685
Cl: 0.102 0.598 0.417
Cl: 0.182 0.098 0.997
Cl: 0.182 0.583 0.185
Cl: 0.185 0.182 0.583
Cl: 0.185 0.503 0.602
Cl: 0.315 0.898 0.997
Cl: 0.315 0.917 0.318
Cl: 0.318 0.315 0.917
Cl: 0.318 0.503 0.402
Cl: 0.398 0.083 0.902
Cl: 0.398 0.815 0.497
Cl: 0.402 0.318 0.503
Cl: 0.402 0.583 0.898
Cl: 0.417 0.102 0.598
Cl: 0.417 0.815 0.818
Cl: 0.497 0.398 0.815
Cl: 0.497 0.598 0.682
Cl: 0.503 0.402 0.318
Cl: 0.503 0.602 0.185
Cl: 0.583 0.185 0.182
Cl: 0.583 0.898 0.402
Cl: 0.598 0.417 0.102
Cl: 0.598 0.682 0.497
Cl: 0.602 0.185 0.503
Cl: 0.602 0.917 0.098
Cl: 0.682 0.497 0.598
Cl: 0.682 0.685 0.083
Cl: 0.685 0.083 0.682
Cl: 0.685 0.102 0.003
Cl: 0.815 0.497 0.398
Cl: 0.815 0.818 0.417
Cl: 0.818 0.417 0.815
Cl: 0.818 0.902 0.003
Cl: 0.898 0.402 0.583
Cl: 0.898 0.997 0.315
Cl: 0.902 0.003 0.818
Cl: 0.902 0.398 0.083
Cl: 0.917 0.098 0.602
Cl: 0.917 0.318 0.315
Cl: 0.997 0.182 0.098
Cl: 0.997 0.315 0.898

=====

# 2
Compound: Pm2Ga4Au5
Source: the Alexandria database
Functional: PBE-GGA
Structure: optimized geometry

Energy of formation from the pure elements, meV/atom: -442.5

a = 6.623 Å, b = 6.623 Å, c = 8.481 Å
α = 126.39°, β = 126.39°, γ = 54.63°
Atoms (fractional coordinates):
Pm: 0.048 0.048 0.260
Pm: 0.952 0.952 0.740
Ga: 0.299 0.299 0.043
Ga: 0.398 0.398 0.615
Ga: 0.602 0.602 0.385
Ga: 0.701 0.701 0.957
Au: 0.052 0.575 0.311
Au: 0.425 0.948 0.689
Au: 0.500 0.500 0.000
Au: 0.575 0.052 0.311
Au: 0.948 0.425 0.689

=====

# 3
Compound: NpUGeRu
Source: the Alexandria database
Functional: PBE-GGA
Structure: optimized geometry

Energy of formation from the pure elements, meV/atom: -90.0

a = 4.738 Å, b = 4.738 Å, c = 4.738 Å
α = 60.00°, β = 60.00°, γ = 60.00°
Atoms (fractional coordinates):
Np: 0.000 0.000 0.000
U: 0.750 0.750 0.750
Ge: 0.250 0.250 0.250
Ru: 0.500 0.500 0.500

=====

# 4
Compound: Be2FeTe
Source: the Alexandria database
Functional: PBE-GGA
Structure: optimized geometry

E_form (uncorrected), eV per formula unit: 1.70

a = 3.292 Å, b = 3.292 Å, c = 4.975 Å
α = 90.00°, β = 90.00°, γ = 90.00°
Atoms (fractional coordinates):
Be: 0.000 0.000 0.000
Be: 0.500 0.500 0.202
Fe: 0.000 0.000 0.434
Te: 0.500 0.500 0.705

=====

Record-wise magnetic moment values, in μB/atom: 0.1735 0.0000 1.7388 0.4554